Version i
Computed, not measured: a relaxed TmThCuPt crystal at the GGA-PBE level of DFT.

abc: 5.0036 5.0036 5.0036
angles: 60.00 60.00 60.00
Closest atoms and distances in Å follow each position.
Positions (direct):
Tm 0.0000 0.0000 0.0000  4 Cu 3.06, 4 Pt 3.06
Pt 0.2500 0.2500 0.2500  4 Th 3.06, 4 Tm 3.06
Th 0.5000 0.5000 0.5000  4 Cu 3.06, 4 Pt 3.06
Cu 0.7500 0.7500 0.7500  4 Th 3.06, 4 Tm 3.06

## Properties
Theoretical density ... 12.365 Mg/m³

Version ii
Computed, not measured: a relaxed TmThCuPt crystal at the GGA-PBE level of DFT.

abc: 3.7910 4.5140 5.6239
angles: 90.00 109.70 90.00
Closest atoms and distances in Å follow each position.
Positions (direct):
Tm 0.1393 0.0000 0.2785  3 Cu 2.97-3.00, 4 Pt 3.01
Th 0.8601 0.5000 0.7202  3 Pt 2.96-3.01, 4 Cu 3.01
Cu 0.4199 0.0000 0.8398  2 Pt 2.83, 3 Tm 2.97-3.00, 4 Th 3.01
Pt 0.5807 0.5000 0.1615  2 Cu 2.83, 3 Th 2.96-3.01, 4 Tm 3.01

## Properties
Theoretical density ... 12.088 Mg/m³

Most stable structure: version ii

Version i
Computed, not measured: a relaxed Ti2Cu2Pt crystal at the GGA-PBE level of DFT.

abc: 3.9839 3.9839 5.4092
angles: 90.00 90.00 112.98
Closest atoms and distances in Å follow each position.
Positions (direct):
Ti 0.5000 0.5000 0.7449  6 Cu 2.55-2.81, 2 Pt 2.60, 2 Ti 2.65-2.76
Ti 0.5000 0.5000 0.2551  6 Cu 2.55-2.81, 2 Pt 2.60, 2 Ti 2.65-2.76
Cu 0.8273 0.1727 0.5000  3 Cu 2.29-2.43, 2 Ti 2.55
Cu 0.1727 0.8273 0.5000  3 Cu 2.29-2.43, 2 Ti 2.55
Pt 0.0000 0.0000 0.0000  4 Ti 2.60

## Properties
Theoretical density ... 8.780 Mg/m³

Version ii
Computed, not measured: a relaxed Ti2Cu2Pt crystal at the GGA-PBE level of DFT.

abc: 3.3136 6.2779 8.6308
angles: 123.02 101.07 90.00
Closest atoms and distances in Å follow each position.
Positions (direct):
Ti 0.1924 0.0386 0.3848  4 Cu 2.65, 1 Pt 2.71, 4 Ti 2.80
Ti 0.1924 0.5386 0.3848  4 Cu 2.65, 1 Pt 2.71, 4 Ti 2.80
Ti 0.8076 0.9614 0.6152  4 Cu 2.65, 1 Pt 2.71, 4 Ti 2.80
Ti 0.8076 0.4614 0.6152  4 Cu 2.65, 1 Pt 2.71, 4 Ti 2.80
Cu 0.4035 0.3554 0.8071  4 Ti 2.65, 4 Pt 2.66, 1 Cu 2.72
Cu 0.5965 0.1446 0.1929  4 Ti 2.65, 4 Pt 2.66, 1 Cu 2.72
Cu 0.5965 0.6446 0.1929  4 Ti 2.65, 4 Pt 2.66, 1 Cu 2.72
Cu 0.4035 0.8554 0.8071  4 Ti 2.65, 4 Pt 2.66, 1 Cu 2.72
Pt 0.0000 0.7500 0.0000  8 Cu 2.66, 2 Ti 2.71
Pt 0.0000 0.2500 0.0000  8 Cu 2.66, 2 Ti 2.71

## Properties
Theoretical density ... 9.471 Mg/m³

Most stable structure: version ii

Version i
Computed, not measured: a relaxed Ti2CuPt4 crystal at the GGA-PBE level of DFT.

abc: 7.9514 5.4704 6.0561
angles: 116.85 90.00 90.00
Closest atoms and distances in Å follow each position.
Positions (direct):
Ti 0.0000 0.6407 0.2814  6 Pt 2.68-2.70
Ti 0.0000 0.3593 0.7186  6 Pt 2.68-2.70
Ti 0.5000 0.8593 0.7186  6 Pt 2.68-2.70
Ti 0.5000 0.1407 0.2814  6 Pt 2.68-2.70
Cu 0.0000 0.0000 0.0000  4 Pt 2.42
Cu 0.5000 0.5000 0.0000  4 Pt 2.42
Pt 0.7650 0.7180 0.0000  2 Cu 2.42, 2 Ti 2.69, 2 Pt 2.71
Pt 0.7500 0.4968 0.5000  4 Ti 2.68-2.70, 4 Pt 2.71-2.74
Pt 0.7500 0.9968 0.5000  4 Ti 2.68-2.70, 4 Pt 2.71-2.74
Pt 0.7350 0.2180 0.0000  2 Cu 2.42, 2 Ti 2.69, 2 Pt 2.71
Pt 0.2650 0.7820 0.0000  2 Cu 2.42, 2 Ti 2.69, 2 Pt 2.71
Pt 0.2500 0.0032 0.5000  4 Ti 2.68-2.70, 4 Pt 2.71-2.74
Pt 0.2500 0.5032 0.5000  4 Ti 2.68-2.70, 4 Pt 2.71-2.74
Pt 0.2350 0.2820 0.0000  2 Cu 2.42, 2 Ti 2.69, 2 Pt 2.71

## Properties
Theoretical density ... 13.278 Mg/m³

Version ii
Computed, not measured: a relaxed Ti2CuPt4 crystal at the GGA-PBE level of DFT.

abc: 6.4738 5.2063 7.2820
angles: 90.00 115.37 90.00
Closest atoms and distances in Å follow each position.
Positions (direct):
Ti 0.8022 0.7500 0.0207  1 Cu 2.60, 8 Pt 2.62-2.83
Ti 0.1978 0.2500 0.9794  1 Cu 2.60, 8 Pt 2.62-2.83
Ti 0.3450 0.2500 0.4354  3 Pt 2.48-2.62
Ti 0.6550 0.7500 0.5646  3 Pt 2.48-2.62
Cu 0.2459 0.7500 0.2116  4 Pt 2.49-2.56, 1 Ti 2.60
Cu 0.7541 0.2500 0.7884  4 Pt 2.49-2.56, 1 Ti 2.60
Pt 0.5904 0.4951 0.2343  1 Cu 2.54, 3 Pt 2.55-2.79, 3 Ti 2.62-2.81
Pt 0.0577 0.7500 0.8231  2 Ti 2.48-2.62, 1 Cu 2.56
Pt 0.9423 0.2500 0.1769  2 Ti 2.48-2.62, 1 Cu 2.56
Pt 0.5904 0.0049 0.2343  1 Cu 2.54, 3 Pt 2.55-2.79, 3 Ti 2.62-2.81
Pt 0.9661 0.2500 0.5726  1 Cu 2.49, 1 Ti 2.69
Pt 0.4096 0.9951 0.7657  1 Cu 2.54, 3 Pt 2.55-2.79, 3 Ti 2.62-2.81
Pt 0.4096 0.5049 0.7657  1 Cu 2.54, 3 Pt 2.55-2.79, 3 Ti 2.62-2.81
Pt 0.0339 0.7500 0.4274  1 Cu 2.49, 1 Ti 2.69

## Properties
Theoretical density ... 14.072 Mg/m³

Most stable structure: version ii